Record 1
DFT (PBEsol) results for a relaxed structure of KMg2Tl2.

Magnetization = 0.000 μB per formula unit
Formation energy from the elements = -0.049 eV per atom
Energy above the lowest structure with this stoichiometry = 0.027 eV per atom

The structure in POSCAR format:
```
KMg2Tl2
1.0
4.8217 0.0000 0.0000
0.0000 4.8217 0.0000
0.0000 0.0000 12.8651
K Mg Tl
2 4 4
Direct
0.0000 0.0000 0.0000
0.5000 0.5000 0.5000
0.0000 0.5000 0.2500
0.0000 0.5000 0.7500
0.5000 0.0000 0.2500
0.5000 0.0000 0.7500
0.0000 0.0000 0.3842
0.0000 0.0000 0.6158
0.5000 0.5000 0.1158
0.5000 0.5000 0.8842
```

=====

Record 2
DFT (PBEsol) results for a relaxed structure of Ac2ZnSi.

Formation energy without anion corrections = -323 meV per atom
Magnetization = 0.000 μB per formula unit

The structure in POSCAR format:
```
Ac2ZnSi
1.0
7.6100 0.0000 0.0000
0.0000 7.6100 0.0000
0.0000 0.0000 7.6100
Ac Zn Si
8 4 4
Direct
0.2500 0.2500 0.2500
0.2500 0.2500 0.7500
0.2500 0.7500 0.2500
0.2500 0.7500 0.7500
0.7500 0.2500 0.2500
0.7500 0.2500 0.7500
0.7500 0.7500 0.2500
0.7500 0.7500 0.7500
0.0000 0.0000 0.0000
0.0000 0.5000 0.5000
0.5000 0.0000 0.5000
0.5000 0.5000 0.0000
0.0000 0.0000 0.5000
0.0000 0.5000 0.0000
0.5000 0.0000 0.0000
0.5000 0.5000 0.5000
```

=====

Record 3
DFT (PBEsol) results for a relaxed structure of RbCdSiAg2.

Formation energy without anion corrections = 443 meV per atom
Magnetization = 0.000 μB per formula unit

The structure in POSCAR format:
```
RbCdSiAg2
1.0
4.8337 0.0000 0.0000
0.0000 4.8337 0.0000
0.0000 0.0000 6.2838
Rb Cd Si Ag
1 1 1 2
Direct
0.0000 0.0000 0.0000
0.5000 0.5000 0.0000
0.0000 0.0000 0.5000
0.0000 0.5000 0.5000
0.5000 0.0000 0.5000
```

=====

Record 4
DFT (PBEsol) results for a relaxed structure of SrGa2Br.

Formation energy without anion corrections = -97 meV per atom
Magnetization = 0.001 μB per formula unit

The structure in POSCAR format:
```
SrGa2Br
1.0
7.5084 0.0000 0.0000
0.0000 7.5084 0.0000
0.0000 0.0000 7.5084
Sr Ga Br
4 8 4
Direct
0.0000 0.0000 0.0000
0.0000 0.5000 0.5000
0.5000 0.0000 0.5000
0.5000 0.5000 0.0000
0.2500 0.2500 0.2500
0.2500 0.2500 0.7500
0.2500 0.7500 0.2500
0.2500 0.7500 0.7500
0.7500 0.2500 0.2500
0.7500 0.2500 0.7500
0.7500 0.7500 0.2500
0.7500 0.7500 0.7500
0.0000 0.0000 0.5000
0.0000 0.5000 0.0000
0.5000 0.0000 0.0000
0.5000 0.5000 0.5000
```

=====

Record 5
DFT (PBEsol) results for a relaxed structure of K3SiN.

Formation energy without anion corrections = 1198 meV per atom
Magnetization = 4.026 μB per formula unit

The structure in POSCAR format:
```
K3SiN
1.0
6.3716 0.0000 0.0000
0.0000 6.3716 0.0000
0.0000 0.0000 6.3716
K Si N
3 1 1
Direct
0.0000 0.0000 0.5000
0.0000 0.5000 0.0000
0.5000 0.0000 0.0000
0.0000 0.0000 0.0000
0.5000 0.5000 0.5000
```

=====

Record 6
DFT (PBEsol) results for a relaxed structure of Tl2SiAg.

Formation energy without anion corrections = 224 meV per atom
Magnetization = 0.000 μB per formula unit
Energy above the lowest structure with this stoichiometry = 0.000 eV per atom

The structure in POSCAR format:
```
Tl2SiAg
1.0
3.2730 0.0000 0.0000
0.0000 3.2730 0.0000
0.0000 0.0000 8.3556
Tl Si Ag
2 1 1
Direct
0.0000 0.0000 0.0000
0.5000 0.5000 0.3304
0.5000 0.5000 0.7424
0.0000 0.0000 0.5926
```

=====

Record 7
DFT (PBEsol) results for a relaxed structure of ScTcCl2.

Formation energy without anion corrections = -600 meV per atom
Magnetization = 0.925 μB per formula unit
Energy above the lowest structure with this stoichiometry = 0.093 eV per atom

The structure in POSCAR format:
```
ScTcCl2
1.0
12.4577 0.0000 0.0000
0.0000 3.1422 0.0000
-0.3567 0.0000 4.4195
Sc Tc Cl
2 2 4
Direct
0.0000 0.0000 0.0000
0.5000 0.5000 0.0000
0.0000 0.5000 0.5000
0.5000 0.0000 0.5000
0.1518 0.5000 0.2208
0.3482 0.0000 0.7792
0.6518 0.0000 0.2208
0.8482 0.5000 0.7792
```

=====

Record 8
DFT (PBEsol) results for a relaxed structure of LiCe2Os.

Magnetization = 0.004 μB per formula unit
Formation energy from the elements = 0.023 eV per atom

The structure in POSCAR format:
```
LiCe2Os
1.0
6.9079 0.0000 0.0000
0.0000 6.9079 0.0000
0.0000 0.0000 6.9079
Li Ce Os
4 8 4
Direct
0.0000 0.0000 0.0000
0.0000 0.5000 0.5000
0.5000 0.0000 0.5000
0.5000 0.5000 0.0000
0.2500 0.2500 0.2500
0.2500 0.2500 0.7500
0.2500 0.7500 0.2500
0.2500 0.7500 0.7500
0.7500 0.2500 0.2500
0.7500 0.2500 0.7500
0.7500 0.7500 0.2500
0.7500 0.7500 0.7500
0.0000 0.0000 0.5000
0.0000 0.5000 0.0000
0.5000 0.0000 0.0000
0.5000 0.5000 0.5000
```